{"formula": "NaSrInSn2", "functional": "PBE-GGA", "state": "relaxed", "magmom_total_mub_per_fu": 0.000, "spacegroup": "I-4m2", "dft_energy_ev_per_cell": -30.77, "delta_e_f_kcal_per_mol_atoms": -7.56, "lattice_angstrom": [[4.802, 0.000, 0.000], [0.000, 4.802, 0.000], [0.000, 0.000, 13.388]], "species": ["Na", "Na", "Sr", "Sr", "In", "In", "Sn", "Sn", "Sn", "Sn"], "frac_coords": [[0.000, 0.000, 0.000], [0.500, 0.500, 0.500], [0.000, 0.500, 0.250], [0.500, 0.000, 0.750], [0.000, 0.000, 0.500], [0.500, 0.500, 0.000], [0.000, 0.500, 0.643], [0.000, 0.500, 0.857], [0.500, 0.000, 0.143], [0.500, 0.000, 0.357]]}